1.
Crystalline LiThTe4Pb2 at its relaxed geometry, computed with PBE.

POSCAR file:
```
LiThTe4Pb2
1.0
4.391 0.000 0.000
0.000 8.038 -0.351
0.000 2.648 7.366
Li Th Te Pb
1 1 4 2
Cartesian
2.196 6.667 7.191 Li
0.000 5.343 3.508 Th
0.000 7.898 5.328 Te
4.391 2.788 1.687 Te
2.196 6.593 1.569 Te
2.196 4.093 5.446 Te
0.000 2.648 7.366 Pb
2.196 1.324 3.683 Pb
```

Properties
**ΔE_f (raw)**: -0.68 eV per atom

2.
Crystalline Hf4Zr3Ti at its relaxed geometry, computed with PBE.

POSCAR file:
```
Hf4Zr3Ti
1.0
5.514 0.000 0.000
0.000 6.367 0.000
0.000 0.000 10.112
Hf Zr Ti
8 6 2
Cartesian
0.844 5.584 0.000 Hf
3.568 0.802 0.000 Hf
5.427 0.798 2.495 Hf
2.670 5.569 2.561 Hf
0.811 5.565 5.056 Hf
3.602 0.783 5.056 Hf
2.670 5.569 7.551 Hf
5.427 0.798 7.617 Hf
3.536 3.961 0.000 Zr
5.398 3.972 2.510 Zr
2.641 2.395 2.546 Zr
0.779 2.406 5.056 Zr
2.641 2.395 7.566 Zr
5.398 3.972 7.602 Zr
0.814 2.350 0.000 Ti
3.571 4.017 5.056 Ti
```

Properties
**Energy relative to the elements**: 15 kJ/mol of formula units
**Distance to the lowest polymorph of the same formula**: 0.000 eV per atom

3.
Crystalline Pm4Sm2Dy2Ho at its relaxed geometry, computed with PBE.

POSCAR file:
```
Pm4Sm2Dy2Ho
1.0
-1.936 3.713 2.921
-2.835 -7.079 2.658
7.230 1.134 3.352
Pm Sm Dy Ho
4 2 2 1
Cartesian
1.751 -0.289 5.991 Pm
0.708 -1.943 2.939 Pm
1.008 1.658 3.024 Pm
1.451 -3.889 5.907 Pm
-1.530 -1.826 5.770 Sm
3.990 -0.406 3.161 Sm
-2.535 -3.482 2.746 Dy
4.995 1.250 6.184 Dy
0.000 0.000 0.000 Ho
```

Properties
**Energy relative to the elements**: 15 kJ/mol of formula units

So what do the calculations give for spin magnetization? Going down the list: 0.00, 0.00, 0.00 μB per formula unit.
So what do the calculations give for density? Going down the list: 7.318, 9.686, 7.624 g/cm3.